The following is a PBE calculation of a geometry-optimized TmPu2Th structure, from Alexandria.

Results
As for the distance to the lowest polymorph of the same formula: 8.4 meV per atom. The calculation puts the calculated volume at 115.0 Å³ per cell. The calculation puts the formation energy at 0.163 eV/atom.

a = 3.468 Å, b = 3.468 Å, c = 9.565 Å
α = 90.00°, β = 90.00°, γ = 90.00°
Space group P4/mmm (No. 123)
Symmetry-distinct sites (fractional):
Tm1 0.000 0.000 0.000 (multiplicity 1)
Pu1 0.500 0.500 0.256 (multiplicity 2)
Th1 0.000 0.000 0.500 (multiplicity 1)

The following is a PBE calculation of a geometry-optimized Tb3PrSm7 structure, from Alexandria.

Results
As for the distance to the lowest polymorph of the same formula: 59.1 meV per atom. The calculation puts the calculated volume at 388.7 Å³ per cell. The calculation puts the formation energy at 0.187 eV/atom.

a = 7.1861 Å, b = 7.1861 Å, c = 8.6924 Å
α = 90.00°, β = 90.00°, γ = 120.00°
Space group P3m1 (No. 156)
Symmetry-distinct sites (fractional):
Tb1 0.1671 0.3341 0.0000 (multiplicity 3)
Pr1 0.0000 0.0000 0.3408 (multiplicity 1)
Sm1 0.0017 0.5009 0.3303 (multiplicity 3)
Sm2 0.3321 0.1660 0.6719 (multiplicity 3)
Sm3 0.3333 0.6667 0.6616 (multiplicity 1)

The following is a PBE calculation of a geometry-optimized RbNiS structure, from Alexandria.

Results
The formation energy from raw total energies is -659 meV per atom. The calculation puts the calculated volume at 577.8 Å³ per cell.

a = 10.676 Å, b = 7.356 Å, c = 7.357 Å
α = 90.00°, β = 90.00°, γ = 90.00°
Space group Cmce (No. 64)
Symmetry-distinct sites (fractional):
Rb1 0.189 0.000 0.000 (multiplicity 8)
Ni1 0.000 0.115 0.385 (multiplicity 8)
S1 0.000 0.176 0.676 (multiplicity 8)

- calculated volume of number 3 (RbNiS)?
  577.8 Å³ per cell

- Which of these has the highest calculated volume?
  RbNiS